This record from Alexandria via LeMat-Bulk describes SiP2SeO at its PBEsol-relaxed geometry. The functional is SCAN.

Calculated values
Volume = 82.2 Å³ per cell
Formation energy without anion corrections = 75.7 kJ per mole of atoms
Polymorph energy (0 for the lowest one) = 927 meV per atom

Lattice parameters (Å, degrees): 4.747 4.747 3.647 90.00 90.00 90.00
Space group P4/mmm (No. 123)
Inequivalent atoms, fractional coordinates:
Si (0.000, 0.000, 0.000) x1
P (0.000, 0.500, 0.500) x2
Se (0.500, 0.500, 0.500) x1
O (0.500, 0.500, 0.000) x1

***

This record from Alexandria via LeMat-Bulk describes Tl2CrIn at its PBEsol-relaxed geometry. The functional is SCAN.

Calculated values
Volume = 184.2 Å³ per cell
Polymorph energy (0 for the lowest one) = 91 meV per atom
ΔH_f (0 K) = 265 meV per atom

Lattice parameters (Å, degrees): 4.459 4.459 9.266 90.00 90.00 90.00
Space group I-4m2 (No. 119)
Inequivalent atoms, fractional coordinates:
Tl (0.000, 0.000, 0.000) x2
Tl (0.000, 0.500, 0.250) x2
Cr (0.000, 0.000, 0.500) x2
In (0.000, 0.500, 0.750) x2

***

This record from Alexandria via LeMat-Bulk describes CsAgF2 at its PBEsol-relaxed geometry. The functional is SCAN.

Calculated values
Volume = 348.4 Å³ per cell
Formation energy without anion corrections = -183.1 kJ per mole of atoms
Polymorph energy (0 for the lowest one) = 0 meV per atom

Lattice parameters (Å, degrees): 4.3976 4.3976 20.8046 90.00 90.00 120.00
Space group R-3m (No. 166, hexagonal axes)
Inequivalent atoms, fractional coordinates:
Cs (0.0000, 0.0000, 0.0000) x3
Ag (0.0000, 0.0000, 0.5000) x3
F (0.0000, 0.0000, 0.4034) x6

***

This record from Alexandria via LeMat-Bulk describes CeCuSb2 at its PBEsol-relaxed geometry. The functional is SCAN.

Calculated values
Volume = 179.7 Å³ per cell
Formation energy without anion corrections = -70.4 kJ per mole of atoms

Lattice parameters (Å, degrees): 4.328 4.328 9.594 90.00 90.00 90.00
Space group P4/nmm (No. 129, origin choice 2)
Inequivalent atoms, fractional coordinates:
Ce (0.250, 0.250, 0.246) x2
Cu (0.250, 0.750, 0.000) x2
Sb (0.250, 0.250, 0.841) x2
Sb (0.250, 0.750, 0.500) x2

***

This record from Alexandria via LeMat-Bulk describes K2Be2H at its PBEsol-relaxed geometry. The functional is SCAN.

Calculated values
Volume = 227.0 Å³ per cell
Total energy = -0.36036 Ry per atom

Lattice parameters (Å, degrees): 6.430 6.430 5.490 90.00 90.00 90.00
Space group I4/mmm (No. 139)
Inequivalent atoms, fractional coordinates:
K (0.000, 0.500, 0.250) x4
Be (0.000, 0.000, 0.189) x4
H (0.000, 0.000, 0.500) x2

***

This record from Alexandria via LeMat-Bulk describes MnNbGe2N at its PBEsol-relaxed geometry. The functional is SCAN.

Calculated values
Volume = 83.4 Å³ per cell
Formation energy without anion corrections = 113.4 kJ per mole of atoms

Lattice parameters (Å, degrees): 4.305 4.305 4.498 90.00 90.00 90.00
Space group P4/mmm (No. 123)
Inequivalent atoms, fractional coordinates:
Mn (0.000, 0.000, 0.000) x1
Nb (0.000, 0.000, 0.500) x1
Ge (0.000, 0.500, 0.000) x2
N (0.500, 0.500, 0.500) x1

***

DOS at the Fermi energy: 2.28 1.68 0.00 3.03 2.83 2.39 (states/eV/f.u.)